DFT (GGA-PBE) results for a relaxed TlHg2Pb2 crystal.

Density of states at the Fermi level (states/eV/atom): 0.50
Volume (Å³/cell): 296.6
Calculated formation energy (eV per atom): 0.013

a b c (Å): 3.8128 3.8128 20.4020
angles (deg): 90.00 90.00 90.00
Space group I4/mmm (No. 139)
Inequivalent atoms, fractional coordinates:
Tl 0.0000 0.0000 0.0000 x2
Hg 0.0000 0.0000 0.4028 x4
Pb 0.0000 0.0000 0.1957 x4